VASP calculation (GGA-PBE) on an optimized crystal structure of Ca2YFe.

Values from the calculation:
- DOS at the Fermi energy (states/eV/atom) = 1.80
- offset from the most stable computed form (eV/f.u.) = 1.13

Geometry as extended XYZ:
```
4
Lattice="-2.489 -1.688 -5.474 3.950 -1.983 -4.412 -1.051 -1.227 6.033" Properties=species:S:1:pos:R:3 pbc="T T T"
Y -1.404 -2.375 -2.192
Ca 0.000 0.000 0.000
Ca 0.731 -1.835 -4.943
Fe 1.815 -2.523 -1.661
```

VASP calculation (GGA-PBE) on an optimized crystal structure of Ca4YFe.

Values from the calculation:
- E (eV/cell) = -18.4
- DOS at the Fermi energy (states/eV/atom) = 2.02

Geometry as extended XYZ:
```
6
Lattice="0.000 4.752 4.752 4.752 0.000 4.752 4.752 4.752 0.000" Properties=species:S:1:pos:R:3 pbc="T T T"
Ca 3.568 5.936 5.936
Ca 5.936 5.936 3.568
Ca 5.936 3.568 5.936
Ca 3.568 3.568 3.568
Y 0.000 0.000 0.000
Fe 7.128 7.128 7.128
```

VASP calculation (GGA-PBE) on an optimized crystal structure of CaYFe4.

Values from the calculation:
- E (eV/cell) = -41.6
- DOS at the Fermi energy (states/eV/atom) = 1.46

Geometry as extended XYZ:
```
6
Lattice="0.000 3.633 3.633 3.633 0.000 3.633 3.633 3.633 0.000" Properties=species:S:1:pos:R:3 pbc="T T T"
Ca 0.000 0.000 0.000
Y 5.450 5.450 5.450
Fe 2.726 4.540 4.540
Fe 4.540 4.540 2.726
Fe 4.540 2.726 4.540
Fe 2.726 2.726 2.726
```

VASP calculation (GGA-PBE) on an optimized crystal structure of Ca2YFe.

Values from the calculation:
- DOS at the Fermi energy (states/eV/atom) = 3.03
- offset from the most stable computed form (eV/f.u.) = 1.19

Geometry as extended XYZ:
```
4
Lattice="5.389 0.000 0.000 2.695 4.667 0.000 2.695 1.556 4.400" Properties=species:S:1:pos:R:3 pbc="T T T"
Y 8.084 4.667 3.300
Ca 0.000 0.000 0.000
Ca 2.695 1.556 1.100
Fe 5.389 3.112 2.200
```

VASP calculation (GGA-PBE) on an optimized crystal structure of Ca2Y5Fe2.

Values from the calculation:
- E (eV/cell) = -105.6
- DOS at the Fermi energy (states/eV/atom) = 1.46

Geometry as extended XYZ:
```
18
Lattice="6.844 0.000 2.484 0.000 7.306 0.000 0.016 0.000 10.624" Properties=species:S:1:pos:R:3 pbc="T T T"
Ca 1.606 0.000 6.245
Ca 5.028 3.653 7.487
Ca 5.255 0.000 6.864
Ca 1.832 3.653 5.622
Y 0.000 0.000 0.000
Y 3.422 3.653 1.242
Y 2.880 1.323 9.532
Y 5.365 5.983 10.434
Y 1.943 4.976 9.192
Y 6.302 2.330 10.774
Y 3.981 5.983 3.577
Y 1.496 1.323 2.675
Y 4.918 2.330 3.917
Y 0.559 4.976 2.335
Fe 0.716 2.882 0.260
Fe 6.128 4.424 2.225
Fe 2.706 6.535 0.982
Fe 4.138 0.771 1.502
```

VASP calculation (GGA-PBE) on an optimized crystal structure of CaY2Fe.

Values from the calculation:
- DOS at the Fermi energy (states/eV/atom) = 1.57
- offset from the most stable computed form (eV/f.u.) = 1.37

Geometry as extended XYZ:
```
4
Lattice="0.000 3.649 3.649 3.649 0.000 3.649 3.649 3.649 0.000" Properties=species:S:1:pos:R:3 pbc="T T T"
Y 1.824 1.824 1.824
Y 5.473 5.473 5.473
Ca 0.000 0.000 0.000
Fe 3.649 3.649 3.649
```